A.
# Zn3OsS

Zn3OsS after structural relaxation (PBE, Alexandria via LeMat-Bulk).

Cell lengths 4.471, 4.471, 4.471 Å; angles 90.00, 90.00, 90.00 degrees
Element x y z (fractional)
Zn 0.000 0.000 0.500
Zn 0.000 0.500 0.000
Zn 0.500 0.000 0.000
Os 0.500 0.500 0.500
S 0.000 0.000 0.000

B.
# Zn3OsS

Zn3OsS after structural relaxation (PBE, Alexandria via LeMat-Bulk).

Cell lengths 4.833, 4.833, 4.833 Å; angles 90.00, 90.00, 90.00 degrees
Element x y z (fractional)
Zn 0.000 0.000 0.500
Zn 0.000 0.500 0.000
Zn 0.500 0.000 0.000
Os 0.000 0.000 0.000
S 0.500 0.500 0.500

Quick one: least stable of them? A

A.
# ZrOs3S

ZrOs3S after structural relaxation (PBE, Alexandria via LeMat-Bulk).

Cell lengths 4.385, 4.385, 4.385 Å; angles 90.00, 90.00, 90.00 degrees
Element x y z (fractional)
Zr 0.000 0.000 0.000
Os 0.000 0.500 0.500
Os 0.500 0.000 0.500
Os 0.500 0.500 0.000
S 0.500 0.500 0.500

B.
# ZrOs3S

ZrOs3S after structural relaxation (PBE, Alexandria via LeMat-Bulk).

Cell lengths 4.912, 4.912, 4.912 Å; angles 90.00, 90.00, 90.00 degrees
Element x y z (fractional)
Zr 0.000 0.000 0.000
Os 0.000 0.000 0.500
Os 0.000 0.500 0.000
Os 0.500 0.000 0.000
S 0.500 0.500 0.500

Quick one: least stable of them? B